Model 1:
This record from the Alexandria database describes a crystal of MnAs2Os relaxed with PBEsol. The functional is meta-GGA SCAN.

N(E_F), states/eV per atom: 0.562
Space group: Pmm2 (25)
Total magnetization, μB/atom: 0.767

Cell lengths 2.9928, 3.6764, 5.2730 Å; angles 90.00, 90.00, 90.00 degrees
Site moments in Bohr magnetons follow the coordinates.
Sites, in units of the cell vectors:
1 As 0.0000 0.0000 0.9518  -0.04
2 As 0.5000 0.5000 0.3097  -0.13
3 Mn 0.0000 0.0000 0.4553  3.29
4 Os 0.5000 0.5000 0.7832  -0.03

Model 2:
This record from the Alexandria database describes a crystal of MnAs2Os relaxed with PBEsol. The functional is meta-GGA SCAN.

N(E_F), states/eV per atom: 0.508
Space group: C2/m (12)
Total magnetization, μB/atom: 0.801

Cell lengths 2.9335, 4.1657, 5.0293 Å; angles 101.21, 90.00, 110.62 degrees
Site moments in Bohr magnetons follow the coordinates.
Sites, in units of the cell vectors:
1 As 0.7508 0.5017 0.7436  -0.04
2 As 0.2492 0.4983 0.2564  -0.04
3 Mn 0.0000 0.0000 0.5000  3.20
4 Os 0.5000 0.0000 0.0000  0.06

Energy relative to the most stable one, in meV/atom: model 1 0; model 2 140

Model 1:
This record from the Alexandria database describes a crystal of MnAsP relaxed with PBEsol. The functional is meta-GGA SCAN.

N(E_F), states/eV per atom: 0.283
Space group: Fmm2 (42)
Total magnetization, μB/atom: 0.890

Cell lengths 2.6942, 2.6942, 6.8424 Å; angles 98.93, 98.93, 102.23 degrees
Site moments in Bohr magnetons follow the coordinates.
Sites, in units of the cell vectors:
1 P 0.7062 0.7062 0.4124  -0.11
2 As 0.9679 0.9679 0.9358  -0.07
3 Mn 0.3259 0.3259 0.6518  2.89

Model 2:
This record from the Alexandria database describes a crystal of MnAsP relaxed with PBEsol. The functional is meta-GGA SCAN.

N(E_F), states/eV per atom: 0.778
Space group: I4mm (107)
Total magnetization, μB/atom: 0.001

Cell lengths 2.7785, 2.7785, 5.8962 Å; angles 103.63, 103.63, 90.00 degrees
Sites, in units of the cell vectors:
1 P 0.2887 0.2887 0.5774
2 As 0.0338 0.0338 0.0676
3 Mn 0.6775 0.6775 0.3551

Energy relative to the most stable one, in meV/atom: model 1 0; model 2 63

Model 1:
This record from the Alexandria database describes a crystal of MnAs2Rh relaxed with PBEsol. The functional is meta-GGA SCAN.

N(E_F), states/eV per atom: 0.521
Space group: Pmm2 (25)
Total magnetization, μB/atom: 0.709

Cell lengths 2.9504, 4.2081, 4.6050 Å; angles 90.00, 90.00, 90.00 degrees
Site moments in Bohr magnetons follow the coordinates.
Sites, in units of the cell vectors:
1 As 0.5000 0.9814 0.0000  -0.11
2 As 0.0000 0.2715 0.5000  -0.14
3 Mn 0.0000 0.4946 0.0000  3.28
4 Rh 0.5000 0.7526 0.5000  -0.10

Model 2:
This record from the Alexandria database describes a crystal of MnAs2Rh relaxed with PBEsol. The functional is meta-GGA SCAN.

N(E_F), states/eV per atom: 0.576
Space group: C2/m (12)
Total magnetization, μB/atom: 0.781

Cell lengths 2.9201, 4.0802, 5.1335 Å; angles 102.32, 90.00, 110.97 degrees
Site moments in Bohr magnetons follow the coordinates.
Sites, in units of the cell vectors:
1 As 0.7448 0.4897 0.7299  -0.06
2 As 0.2552 0.5103 0.2701  -0.06
3 Mn 0.0000 0.0000 0.5000  3.07
4 Rh 0.5000 0.0000 0.0000  0.14

Model 3:
This record from the Alexandria database describes a crystal of MnAs2Rh relaxed with PBEsol. The functional is meta-GGA SCAN.

N(E_F), states/eV per atom: 0.485
Space group: Cm (8)
Total magnetization, μB/atom: 0.809

Cell lengths 3.2196, 4.3755, 4.5743 Å; angles 103.37, 110.60, 90.00 degrees
Site moments in Bohr magnetons follow the coordinates.
Sites, in units of the cell vectors:
1 As 0.0036 0.0572 0.0072  -0.08
2 As 0.2460 0.6625 0.4920  -0.11
3 Mn 0.5149 0.5764 0.0298  3.47
4 Rh 0.7355 0.2039 0.4711  0.00

Model 4:
This record from the Alexandria database describes a crystal of MnAs2Rh relaxed with PBEsol. The functional is meta-GGA SCAN.

N(E_F), states/eV per atom: 0.532
Space group: I-4m2 (119)
Total magnetization, μB/atom: 0.958

Cell lengths 3.7040, 3.7040, 4.9942 Å; angles 111.77, 111.77, 90.00 degrees
Site moments in Bohr magnetons follow the coordinates.
Sites, in units of the cell vectors:
1 As 0.0000 0.0000 0.0000  -0.05
2 As 0.7500 0.2500 0.5000  -0.03
3 Mn 0.5000 0.5000 0.0000  3.79
4 Rh 0.2500 0.7500 0.5000  0.06

Energy relative to the most stable one, in meV/atom: model 1 19; model 2 183; model 3 0; model 4 146

Model 1:
This record from the Alexandria database describes a crystal of ScMnAs2 relaxed with PBEsol. The functional is meta-GGA SCAN.

N(E_F), states/eV per atom: 0.508
Space group: P2/m (10)
Total magnetization, μB/atom: 0.908

Cell lengths 3.1048, 3.6436, 6.0682 Å; angles 90.00, 98.74, 90.00 degrees
Site moments in Bohr magnetons follow the coordinates.
Sites, in units of the cell vectors:
1 As 0.6726 0.0000 0.7571  -0.07
2 As 0.3274 0.0000 0.2429  -0.07
3 Mn 0.5000 0.5000 0.0000  3.64
4 Sc 0.0000 0.5000 0.5000  0.02

Model 2:
This record from the Alexandria database describes a crystal of ScMnAs2 relaxed with PBEsol. The functional is meta-GGA SCAN.

N(E_F), states/eV per atom: 0.884
Space group: Fm-3m (225)
Total magnetization, μB/atom: 0.881

Cell lengths 4.4104, 4.4104, 4.4104 Å; angles 60.00, 60.00, 60.00 degrees
Site moments in Bohr magnetons follow the coordinates.
Sites, in units of the cell vectors:
1 As 0.2500 0.2500 0.2500  -0.13
2 As 0.7500 0.7500 0.7500  -0.13
3 Mn 0.0000 0.0000 0.0000  3.61
4 Sc 0.5000 0.5000 0.5000  0.12

Energy relative to the most stable one, in meV/atom: model 1 0; model 2 197

Model 1:
This record from the Alexandria database describes a crystal of Ta3MnAs relaxed with PBEsol. The functional is meta-GGA SCAN.

N(E_F), states/eV per atom: 0.861
Space group: Pm-3m (221)
Total magnetization, μB/atom: 0.000

Cell lengths 4.5428, 4.5428, 4.5428 Å; angles 90.00, 90.00, 90.00 degrees
Sites, in units of the cell vectors:
1 As 0.5000 0.5000 0.5000
2 Mn 0.0000 0.0000 0.0000
3 Ta 0.0000 0.5000 0.0000
4 Ta 0.0000 0.0000 0.5000
5 Ta 0.5000 0.0000 0.0000

Model 2:
This record from the Alexandria database describes a crystal of Ta3MnAs relaxed with PBEsol. The functional is meta-GGA SCAN.

N(E_F), states/eV per atom: 0.779
Space group: Pm-3m (221)
Total magnetization, μB/atom: 0.573

Cell lengths 4.6691, 4.6691, 4.6691 Å; angles 90.00, 90.00, 90.00 degrees
Site moments in Bohr magnetons follow the coordinates.
Sites, in units of the cell vectors:
1 As 0.0000 0.0000 0.0000  0.00
2 Mn 0.5000 0.5000 0.5000  4.23
3 Ta 0.0000 0.5000 0.0000  -0.37
4 Ta 0.0000 0.0000 0.5000  -0.37
5 Ta 0.5000 0.0000 0.0000  -0.37

Energy relative to the most stable one, in meV/atom: model 1 0; model 2 124

Model 1:
This record from the Alexandria database describes a crystal of TaMnAs2 relaxed with PBEsol. The functional is meta-GGA SCAN.

N(E_F), states/eV per atom: 0.275
Space group: Cmm2 (35)
Total magnetization, μB/atom: 0.513

Cell lengths 2.7964, 2.7964, 9.0449 Å; angles 90.00, 90.00, 103.11 degrees
Site moments in Bohr magnetons follow the coordinates.
Sites, in units of the cell vectors:
1 As 0.0000 0.0000 0.0494  0.00
2 As 0.5000 0.5000 0.6815  -0.12
3 Mn 0.0000 0.0000 0.4946  2.48
4 Ta 0.5000 0.5000 0.2744  -0.21

Model 2:
This record from the Alexandria database describes a crystal of TaMnAs2 relaxed with PBEsol. The functional is meta-GGA SCAN.

N(E_F), states/eV per atom: 0.202
Space group: F-43m (216)
Total magnetization, μB/atom: 0.502

Cell lengths 4.4328, 4.4328, 4.4328 Å; angles 60.00, 60.00, 60.00 degrees
Site moments in Bohr magnetons follow the coordinates.
Sites, in units of the cell vectors:
1 As 0.0000 0.0000 0.0000  0.08
2 As 0.7500 0.7500 0.7500  -0.02
3 Mn 0.5000 0.5000 0.5000  2.79
4 Ta 0.2500 0.2500 0.2500  -0.63

Energy relative to the most stable one, in meV/atom: model 1 0; model 2 313

Model 1:
This record from the Alexandria database describes a crystal of Mn2TeAs relaxed with PBEsol. The functional is meta-GGA SCAN.

N(E_F), states/eV per atom: 0.529
Space group: R-3m (166)
Total magnetization, μB/atom: 2.009

Cell lengths 3.7462, 3.7462, 6.3473 Å; angles 72.84, 72.84, 60.00 degrees
Site moments in Bohr magnetons follow the coordinates.
Sites, in units of the cell vectors:
1 As 0.0000 0.0000 0.0000  -0.16
2 Mn 0.7341 0.7341 0.7976  3.98
3 Mn 0.2659 0.2659 0.2024  3.98
4 Te 0.5000 0.5000 0.5000  -0.12

Model 2:
This record from the Alexandria database describes a crystal of Mn2TeAs relaxed with PBEsol. The functional is meta-GGA SCAN.

N(E_F), states/eV per atom: 0.423
Space group: P4mm (99)
Total magnetization, μB/atom: 1.548

Cell lengths 3.2832, 3.2832, 6.4483 Å; angles 90.00, 90.00, 90.00 degrees
Site moments in Bohr magnetons follow the coordinates.
Sites, in units of the cell vectors:
1 As 0.5000 0.5000 0.8510  -0.18
2 Mn 0.0000 0.0000 0.9988  3.33
3 Mn 0.5000 0.5000 0.2283  3.15
4 Te 0.0000 0.0000 0.4219  -0.14

Energy relative to the most stable one, in meV/atom: model 1 0; model 2 151

Model 1:
This record from the Alexandria database describes a crystal of MnTlAs2 relaxed with PBEsol. The functional is meta-GGA SCAN.

N(E_F), states/eV per atom: 0.462
Space group: Cm (8)
Total magnetization, μB/atom: 0.000

Cell lengths 2.9291, 2.9194, 8.9865 Å; angles 90.25, 99.38, 90.00 degrees
Sites, in units of the cell vectors:
1 As 0.9830 0.7571 0.9659
2 As 0.1429 0.7614 0.2858
3 Mn 0.5622 0.2586 0.1244
4 Tl 0.8120 0.7229 0.6239

Model 2:
This record from the Alexandria database describes a crystal of MnTlAs2 relaxed with PBEsol. The functional is meta-GGA SCAN.

N(E_F), states/eV per atom: 0.583
Space group: R3m (160)
Total magnetization, μB/atom: 0.684

Cell lengths 3.1767, 3.1767, 8.7401 Å; angles 79.53, 79.53, 60.00 degrees
Site moments in Bohr magnetons follow the coordinates.
Sites, in units of the cell vectors:
1 As 0.0061 0.0061 0.9818  -0.06
2 As 0.7650 0.7650 0.7050  -0.21
3 Mn 0.4886 0.4886 0.5342  3.15
4 Tl 0.2403 0.2403 0.2790  -0.01

Energy relative to the most stable one, in meV/atom: model 1 0; model 2 273

Model 1:
This record from the Alexandria database describes a crystal of Mn2ZnAs relaxed with PBEsol. The functional is meta-GGA SCAN.

N(E_F), states/eV per atom: 0.713
Space group: I4/mmm (139)
Total magnetization, μB/atom: 1.553

Cell lengths 3.7678, 3.7678, 4.4730 Å; angles 114.91, 114.91, 90.00 degrees
Site moments in Bohr magnetons follow the coordinates.
Sites, in units of the cell vectors:
1 As 0.0000 0.0000 0.0000  -0.08
2 Mn 0.7500 0.2500 0.5000  3.15
3 Mn 0.2500 0.7500 0.5000  3.15
4 Zn 0.5000 0.5000 0.0000  -0.10

Model 2:
This record from the Alexandria database describes a crystal of Mn2ZnAs relaxed with PBEsol. The functional is meta-GGA SCAN.

N(E_F), states/eV per atom: 0.503
Space group: P4mm (99)
Total magnetization, μB/atom: 1.658

Cell lengths 3.2455, 3.2455, 5.1368 Å; angles 90.00, 90.00, 90.00 degrees
Site moments in Bohr magnetons follow the coordinates.
Sites, in units of the cell vectors:
1 As 0.5000 0.5000 0.7787  -0.17
2 Mn 0.0000 0.0000 0.9884  3.20
3 Mn 0.5000 0.5000 0.2569  3.59
4 Zn 0.0000 0.0000 0.4760  -0.03

Energy relative to the most stable one, in meV/atom: model 1 21; model 2 0

Model 1:
This record from the Alexandria database describes a crystal of MoAs3 relaxed with PBEsol. The functional is meta-GGA SCAN.

N(E_F), states/eV per atom: 0.656
Space group: R-3m (166)
Total magnetization, μB/atom: 0.000

Cell lengths 3.7348, 4.7997, 4.7997 Å; angles 113.52, 105.03, 105.03 degrees
Sites, in units of the cell vectors:
1 Mo 0.5000 0.0000 0.0000
2 As 0.5000 0.5000 0.5000
3 As 0.0000 0.5000 0.0000
4 As 0.0000 0.0000 0.5000

Model 2:
This record from the Alexandria database describes a crystal of MoAs3 relaxed with PBEsol. The functional is meta-GGA SCAN.

N(E_F), states/eV per atom: 0.876
Space group: I4/mmm (139)
Total magnetization, μB/atom: 0.000

Cell lengths 4.1023, 4.1023, 4.8676 Å; angles 114.92, 114.92, 90.00 degrees
Sites, in units of the cell vectors:
1 Mo 0.0000 0.0000 0.0000
2 As 0.7500 0.2500 0.5000
3 As 0.5000 0.5000 0.0000
4 As 0.2500 0.7500 0.5000

Energy relative to the most stable one, in meV/atom: model 1 0; model 2 98

Model 1:
This record from the Alexandria database describes a crystal of MoAsOs relaxed with PBEsol. The functional is meta-GGA SCAN.

N(E_F), states/eV per atom: 0.928
Space group: Fmm2 (42)
Total magnetization, μB/atom: 0.000

Cell lengths 2.7796, 2.7796, 6.7195 Å; angles 96.82, 96.82, 115.21 degrees
Sites, in units of the cell vectors:
1 Mo 0.6696 0.6696 0.3391
2 Os 0.3299 0.3299 0.6598
3 As 0.0005 0.0005 0.0010

Model 2:
This record from the Alexandria database describes a crystal of MoAsOs relaxed with PBEsol. The functional is meta-GGA SCAN.

N(E_F), states/eV per atom: 0.557
Space group: P3m1 (156)
Total magnetization, μB/atom: 0.000

Cell lengths 2.8310, 2.8310, 6.4271 Å; angles 90.00, 90.00, 120.00 degrees
Sites, in units of the cell vectors:
1 Mo 0.6667 0.3333 0.6601
2 Os 0.3333 0.6667 0.3382
3 As 0.0000 0.0000 0.0018

Model 3:
This record from the Alexandria database describes a crystal of MoAsOs relaxed with PBEsol. The functional is meta-GGA SCAN.

N(E_F), states/eV per atom: 0.460
Space group: F-43m (216)
Total magnetization, μB/atom: 0.000

Cell lengths 4.1656, 4.1656, 4.1656 Å; angles 60.00, 60.00, 60.00 degrees
Sites, in units of the cell vectors:
1 Mo 0.2500 0.2500 0.2500
2 Os 0.0000 0.0000 0.0000
3 As 0.5000 0.5000 0.5000

Energy relative to the most stable one, in meV/atom: model 1 366; model 2 0; model 3 118

Model 1:
This record from the Alexandria database describes a crystal of ScMoAs2 relaxed with PBEsol. The functional is meta-GGA SCAN.

N(E_F), states/eV per atom: 0.629
Space group: P4/mmm (123)
Total magnetization, μB/atom: 0.000

Cell lengths 3.1879, 4.5113, 4.5113 Å; angles 90.00, 90.00, 90.00 degrees
Sites, in units of the cell vectors:
1 As 0.0000 0.0000 0.5000
2 As 0.0000 0.5000 0.0000
3 Mo 0.5000 0.5000 0.5000
4 Sc 0.5000 0.0000 0.0000

Model 2:
This record from the Alexandria database describes a crystal of ScMoAs2 relaxed with PBEsol. The functional is meta-GGA SCAN.

N(E_F), states/eV per atom: 0.907
Space group: F-43m (216)
Total magnetization, μB/atom: 0.269

Cell lengths 4.5498, 4.5498, 4.5498 Å; angles 60.00, 60.00, 60.00 degrees
Site moments in Bohr magnetons follow the coordinates.
Sites, in units of the cell vectors:
1 As 0.0000 0.0000 0.0000  -0.08
2 As 0.7500 0.7500 0.7500  -0.04
3 Mo 0.5000 0.5000 0.5000  0.85
4 Sc 0.2500 0.2500 0.2500  0.22

Energy relative to the most stable one, in meV/atom: model 1 0; model 2 453